First-principles (PBE) data for an optimized crystal structure of MnTc2Te, as listed in Alexandria via LeMat-Bulk. Values from VASP.

Computed properties:
The calculation puts the calculated volume at 127.2 Å³ per cell. The value obtained for the uncorrected formation energy is 0.439 eV per atom. Its total magnetization is 2.1 μB/f.u. The calculation puts the density at 9.88 g cm⁻³. For the total DFT energy (no corrections), the calculation gives -7.822 eV per atom.

Structure (Quantum ESPRESSO input):
```
&SYSTEM
  ibrav = 0, nat = 8, ntyp = 3
/
ATOMIC_SPECIES
Mn 54.94 Mn.upf
Tc 98.00 Tc.upf
Te 127.60 Te.upf
CELL_PARAMETERS angstrom
3.2556 0.0000 0.0000
0.0000 4.4111 0.0000
0.0000 0.0000 8.8565
ATOMIC_POSITIONS crystal
Mn 0.0000 0.0000 0.0000
Mn 0.5000 0.5000 0.5000
Tc 0.0000 0.5000 0.2365
Tc 0.0000 0.5000 0.7635
Tc 0.5000 0.0000 0.2635
Tc 0.5000 0.0000 0.7365
Te 0.0000 0.0000 0.5000
Te 0.5000 0.5000 0.0000
```